Entry 1:
{"formula": "KIn2SnOs", "functional": "GGA-PBE", "state": "relaxed", "final_energy_ev_per_atom": -4.29, "ef_kj_per_mol_fu": 33, "rho_g_cm3": 6.658, "sg": "P4/mmm, No. 123", "lattice": [[-0.6628, 2.0589, -4.7997], [0.9349, -4.7133, -2.1509], [-5.0733, -1.1090, 0.2249]], "species": ["Os", "In", "In", "Sn", "K"], "frac_coords": [[0.0000, 0.0000, 0.0000], [0.0000, 0.5000, 0.0000], [0.5000, 0.0000, 0.0000], [0.0000, 0.0000, 0.5000], [0.5000, 0.5000, 0.5000]]}

Entry 2:
{"formula": "KInP2", "functional": "GGA-PBE", "state": "relaxed", "final_energy_ev_per_atom": -3.51, "ef_kj_per_mol_fu": 58, "rho_g_cm3": 3.567, "sg": "R-3m, No. 166", "lattice": [[-7.4070, -0.2529, 4.3539], [-7.4150, -3.5219, 2.5493], [-5.5404, -3.1658, 5.7590]], "species": ["In", "P", "P", "K"], "frac_coords": [[0.2500, 0.2500, 0.2500], [0.9832, 0.9832, 0.9832], [0.5168, 0.5168, 0.5168], [0.7500, 0.7500, 0.7500]]}

Entry 3:
{"formula": "K2In2P3", "functional": "GGA-PBE", "state": "relaxed", "final_energy_ev_per_atom": -3.71, "ef_kj_per_mol_fu": -199, "rho_g_cm3": 3.398, "sg": "C2/m, No. 12", "lattice": [[4.3151, 0.0000, 0.9565], [1.9026, 8.7522, 1.6283], [-0.0463, 0.4228, 10.4205]], "species": ["K", "K", "K", "K", "P", "P", "P", "P", "P", "P", "In", "In", "In", "In"], "frac_coords": [[0.7291, 0.8767, 0.6651], [0.2709, 0.1233, 0.3349], [0.6281, 0.7266, 0.0173], [0.3719, 0.2734, 0.9827], [0.4032, 0.7529, 0.4406], [0.0620, 0.9792, 0.8968], [0.9380, 0.0208, 0.1032], [0.8554, 0.4995, 0.7898], [0.1446, 0.5005, 0.2102], [0.5968, 0.2471, 0.5594], [0.9706, 0.7728, 0.2860], [0.0294, 0.2272, 0.7140], [0.4085, 0.5321, 0.6508], [0.5915, 0.4679, 0.3492]]}

Entry 4:
{"formula": "K2In2P", "functional": "GGA-PBE", "state": "relaxed", "polymorph_energy_mev_per_atom": 134, "final_energy_ev_per_atom": -2.64, "ef_kj_per_mol_fu": -10, "rho_g_cm3": 3.500, "sg": "P4/mbm, No. 127", "lattice": [[-3.1776, 6.2262, -2.4458], [-5.3826, -0.7722, 5.0275], [3.1437, 3.1145, 3.8441]], "species": ["K", "K", "K", "K", "P", "P", "In", "In", "In", "In"], "frac_coords": [[0.6850, 0.8150, 0.5000], [0.1850, 0.6850, 0.5000], [0.3150, 0.1850, 0.5000], [0.8150, 0.3150, 0.5000], [0.0000, 0.0000, 0.0000], [0.5000, 0.5000, 0.0000], [0.6393, 0.1393, 0.0000], [0.1393, 0.3607, 0.0000], [0.3607, 0.8607, 0.0000], [0.8607, 0.6393, 0.0000]]}

Entry 5:
{"formula": "KInP2", "functional": "GGA-PBE", "state": "relaxed", "final_energy_ev_per_atom": -3.78, "ef_kj_per_mol_fu": -45, "rho_g_cm3": 2.977, "sg": "C2/m, No. 12", "lattice": [[6.0013, -0.0126, -0.0667], [5.0774, 3.1994, -0.0667], [2.7624, 0.7946, 6.2171]], "species": ["K", "P", "P", "In"], "frac_coords": [[0.2500, 0.2500, 0.2500], [0.5153, 0.5153, 0.6364], [0.9847, 0.9847, 0.8636], [0.7500, 0.7500, 0.7500]]}

Entry 6:
{"formula": "KInP2", "functional": "GGA-PBE", "state": "relaxed", "final_energy_ev_per_atom": -3.83, "ef_kj_per_mol_fu": -63, "rho_g_cm3": 3.303, "sg": "Pm, No. 6", "lattice": [[3.3927, 0.0000, 0.0000], [0.0000, 5.0922, 0.0090], [0.0000, 1.5822, 6.2845]], "species": ["In", "K", "P", "P"], "frac_coords": [[0.0000, 0.4733, 0.3825], [0.5000, 0.8036, 0.8012], [0.5000, 0.0023, 0.2589], [0.0000, 0.2208, 0.0573]]}

Entry 7:
{"formula": "KIn2P2", "functional": "GGA-PBE", "state": "relaxed", "final_energy_ev_per_atom": -3.42, "ef_kj_per_mol_fu": 31, "rho_g_cm3": 4.638, "sg": "P4/mbm, No. 127", "lattice": [[-2.4714, 5.6654, -5.1874], [-6.0614, 1.9091, 4.9728], [2.1267, 2.4427, 1.6545]], "species": ["In", "In", "In", "In", "K", "K", "P", "P", "P", "P"], "frac_coords": [[0.3606, 0.1394, 0.5000], [0.6394, 0.8606, 0.5000], [0.8606, 0.3606, 0.5000], [0.1394, 0.6394, 0.5000], [0.0000, 0.0000, 0.0000], [0.5000, 0.5000, 0.0000], [0.6481, 0.1481, 0.0000], [0.8519, 0.6481, 0.0000], [0.3519, 0.8519, 0.0000], [0.1481, 0.3519, 0.0000]]}

Entry 8:
{"formula": "KInP2", "functional": "GGA-PBE", "state": "relaxed", "final_energy_ev_per_atom": -3.78, "ef_kj_per_mol_fu": -43, "rho_g_cm3": 3.264, "sg": "Imm2, No. 44", "lattice": [[6.8212, -0.0008, 0.0249], [3.8452, 5.6341, -0.0249], [-4.6852, -4.0436, 2.8683]], "species": ["P", "P", "K", "In"], "frac_coords": [[0.9675, 0.9675, 0.0000], [0.8462, 0.3462, 0.5000], [0.2075, 0.7075, 0.5000], [0.4788, 0.4788, 0.0000]]}